Material: Er3UFe3
Method: DFT, PBE
State: relaxed

Values from the calculation:
Its size of the total moment is 0.000 μB/f.u. The calculation puts the energy relative to the elements at -0.11 eV/atom. The calculation puts the raw total energy at -7.3010 eV per atom. The density of states at the Fermi level is 0.683 states/eV per atom.

a = 7.4571 Å, b = 11.9808 Å, c = 6.9726 Å
α = 90.00°, β = 109.21°, γ = 90.00°
With the nearest neighbours (Å) after each atom.
Space group C2/m (No. 12)
One atom of each set of equivalent atoms:
Er  0.0000  0.2104  0.0000 x4  4 Fe 2.81-2.95
Er  0.0000  0.2587  0.5000 x4  4 Fe 2.91-3.08
Er  0.1578  0.5000  0.8888 x4  6 Fe 2.76-2.92
U  0.2177  0.0000  0.4968 x4  3 Fe 2.09-2.18
Fe  0.0038  0.0000  0.7810 x4  1 U 2.09
Fe  0.2014  0.3857  0.2458 x8  1 U 2.18